No. 1
# MgAl3Co PBE optimized geometry
# Magnetic moment = 0.00 μB/f.u.
# Formation energy = -0.16 eV/f.u.
# Energy above the lowest structure with this stoichiometry = 209.6 meV/atom
# Total energy = -4.02 eV per atom
data_MgAl3Co
_space_group_name_H-M_alt 'P 1'
_space_group_IT_number 1
_cell_length_a 4.518
_cell_length_b 4.518
_cell_length_c 4.518
_cell_angle_alpha 90.00
_cell_angle_beta 90.00
_cell_angle_gamma 90.00
loop_
_space_group_symop_operation_xyz
'x,y,z'
loop_
_atom_site_label
_atom_site_type_symbol
_atom_site_fract_x
_atom_site_fract_y
_atom_site_fract_z
Al1 Al 0.500 0.000 0.000
Al2 Al 0.000 0.000 0.500
Al3 Al 0.000 0.500 0.000
Co1 Co 0.000 0.000 0.000
Mg1 Mg 0.500 0.500 0.500

***

No. 2
# BaIn2As PBE optimized geometry
# Magnetic moment = 0.00 μB/f.u.
# Formation energy = -2.09 eV/f.u.
# Total energy = -3.53 eV per atom
data_BaIn2As
_space_group_name_H-M_alt 'P 1'
_space_group_IT_number 1
_cell_length_a 4.474
_cell_length_b 4.477
_cell_length_c 6.281
_cell_angle_alpha 90.01
_cell_angle_beta 90.00
_cell_angle_gamma 90.00
loop_
_space_group_symop_operation_xyz
'x,y,z'
loop_
_atom_site_label
_atom_site_type_symbol
_atom_site_fract_x
_atom_site_fract_y
_atom_site_fract_z
As1 As 0.000 0.375 0.487
In1 In 0.500 0.375 0.162
In2 In 0.000 0.875 0.163
Ba1 Ba 0.500 0.875 0.688

***

No. 3
# LaEr2Hg3 PBE optimized geometry
# Magnetic moment = 0.62 μB/f.u.
# Formation energy = -2.91 eV/f.u.
# Total energy = -2.98 eV per atom
data_LaEr2Hg3
_space_group_name_H-M_alt 'P 1'
_space_group_IT_number 1
_cell_length_a 3.730
_cell_length_b 3.730
_cell_length_c 11.485
_cell_angle_alpha 90.00
_cell_angle_beta 90.00
_cell_angle_gamma 90.00
loop_
_space_group_symop_operation_xyz
'x,y,z'
loop_
_atom_site_label
_atom_site_type_symbol
_atom_site_fract_x
_atom_site_fract_y
_atom_site_fract_z
Hg1 Hg 0.000 0.000 0.312
Hg2 Hg 0.000 0.000 0.688
Hg3 Hg 0.000 0.000 0.000
La1 La 0.500 0.500 0.500
Er1 Er 0.500 0.500 0.160
Er2 Er 0.500 0.500 0.840

***

No. 4
# PmPuCuRu PBE optimized geometry
# Magnetic moment = 5.37 μB/f.u.
# Formation energy = -0.24 eV/f.u.
# Total energy = -8.17 eV per atom
data_PmPuCuRu
_space_group_name_H-M_alt 'P 1'
_space_group_IT_number 1
_cell_length_a 4.914
_cell_length_b 4.914
_cell_length_c 4.914
_cell_angle_alpha 60.00
_cell_angle_beta 60.00
_cell_angle_gamma 60.00
loop_
_space_group_symop_operation_xyz
'x,y,z'
loop_
_atom_site_label
_atom_site_type_symbol
_atom_site_fract_x
_atom_site_fract_y
_atom_site_fract_z
Ru1 Ru 0.250 0.250 0.250
Pu1 Pu 0.500 0.500 0.500
Cu1 Cu 0.750 0.750 0.750
Pm1 Pm 0.000 0.000 0.000

***

No. 5
# KSbP3 PBE optimized geometry
# Magnetic moment = 0.00 μB/f.u.
# Uncorrected formation energy = 0.6886 eV per atom
# Energy above the lowest structure with this stoichiometry = 0.0 meV/atom
# Total energy = -3.60 eV per atom
data_KSbP3
_space_group_name_H-M_alt 'P 1'
_space_group_IT_number 1
_cell_length_a 5.197
_cell_length_b 5.197
_cell_length_c 5.197
_cell_angle_alpha 90.00
_cell_angle_beta 90.00
_cell_angle_gamma 90.00
loop_
_space_group_symop_operation_xyz
'x,y,z'
loop_
_atom_site_label
_atom_site_type_symbol
_atom_site_fract_x
_atom_site_fract_y
_atom_site_fract_z
P1 P 0.500 0.000 0.000
P2 P 0.000 0.000 0.500
P3 P 0.000 0.500 0.000
K1 K 0.500 0.500 0.500
Sb1 Sb 0.000 0.000 0.000

***

No. 6
# CdIn2Au PBE optimized geometry
# Magnetic moment = 0.00 μB/f.u.
# Formation energy = -0.09 eV/f.u.
# Total energy = -2.44 eV per atom
data_CdIn2Au
_space_group_name_H-M_alt 'P 1'
_space_group_IT_number 1
_cell_length_a 5.502
_cell_length_b 5.502
_cell_length_c 5.502
_cell_angle_alpha 131.59
_cell_angle_beta 131.59
_cell_angle_gamma 70.87
loop_
_space_group_symop_operation_xyz
'x,y,z'
loop_
_atom_site_label
_atom_site_type_symbol
_atom_site_fract_x
_atom_site_fract_y
_atom_site_fract_z
In1 In 0.500 0.500 0.000
In2 In 0.000 0.000 0.000
Cd1 Cd 0.750 0.250 0.500
Au1 Au 0.250 0.750 0.500

***

Per-record Fermi-level density of states, states/eV/cell: 2.2; 2.1; 5.3; 11.2; 7.2; 1.8